# 1
The following is a DFT calculation (PBE) of a relaxed structure of NdPt10Pb.

Calculated formation energy in meV/atom: -400
Total moment in μB/atom: 0.00
Fermi-level density of states in states/eV/atom: 0.649
Final energy in eV/f.u.: -73.68
Symmetry: Pmmm

Cell and atoms, written as POSCAR:
```
NdPt10Pb
1.0
4.439 0.000 0.000
0.000 5.447 0.000
0.000 0.000 9.352
Pt Pb Nd
10 1 1
Direct
0.500 0.747 0.255
0.000 0.500 0.835
0.500 0.253 0.745
0.500 0.253 0.255
0.500 0.500 0.000
0.000 0.000 0.669
0.500 0.747 0.745
0.000 0.500 0.165
0.000 0.000 0.331
0.500 0.000 0.500
0.000 0.000 0.000
0.000 0.500 0.500
```


# 2
The following is a DFT calculation (PBE) of a relaxed structure of KFe2Au.

Calculated formation energy in meV/atom: 936
Total moment in μB/atom: 1.44
Fermi-level density of states in states/eV/atom: 1.316
Final energy in eV/f.u.: -17.56
Symmetry: Cmmm

Cell and atoms, written as POSCAR:
```
KFe2Au
1.0
-2.016 -3.679 3.656
5.405 1.304 0.214
-0.555 2.018 1.725
Fe K Au
2 1 1
Direct
0.500 0.500 0.000
0.000 0.000 0.000
0.500 0.000 0.500
0.000 0.500 0.500
```


Among the records above, which one has the lowest calculated formation energy? NdPt10Pb


Copy entry 1 word for word.
The following is a DFT calculation (PBE) of a relaxed structure of NdPt10Pb.

Calculated formation energy in meV/atom: -400
Total moment in μB/atom: 0.00
Fermi-level density of states in states/eV/atom: 0.649
Final energy in eV/f.u.: -73.68
Symmetry: Pmmm

Cell and atoms, written as POSCAR:
```
NdPt10Pb
1.0
4.439 0.000 0.000
0.000 5.447 0.000
0.000 0.000 9.352
Pt Pb Nd
10 1 1
Direct
0.500 0.747 0.255
0.000 0.500 0.835
0.500 0.253 0.745
0.500 0.253 0.255
0.500 0.500 0.000
0.000 0.000 0.669
0.500 0.747 0.745
0.000 0.500 0.165
0.000 0.000 0.331
0.500 0.000 0.500
0.000 0.000 0.000
0.000 0.500 0.500
```


Among the records above, which one has the lowest total moment? NdPt10Pb


Please write out number 2 again, unchanged.
The following is a DFT calculation (PBE) of a relaxed structure of KFe2Au.

Calculated formation energy in meV/atom: 936
Total moment in μB/atom: 1.44
Fermi-level density of states in states/eV/atom: 1.316
Final energy in eV/f.u.: -17.56
Symmetry: Cmmm

Cell and atoms, written as POSCAR:
```
KFe2Au
1.0
-2.016 -3.679 3.656
5.405 1.304 0.214
-0.555 2.018 1.725
Fe K Au
2 1 1
Direct
0.500 0.500 0.000
0.000 0.000 0.000
0.500 0.000 0.500
0.000 0.500 0.500
```